(1)
Below is a relaxed structure of HgBiOsO2, with properties calculated at the GGA-PBE level.

Cell lengths 4.184, 5.639, 4.184 Å; angles 90.00, 90.00, 90.00 degrees
Site moments in Bohr magnetons follow the coordinates.
Fractional coordinates of all 5 atoms:
Os1 0.000 0.500 0.000  1.77
Bi1 0.000 0.000 0.000  -0.04
O1 0.000 0.000 0.500  0.07
O2 0.500 0.000 0.000  0.10
Hg1 0.500 0.500 0.500  0.00

## Properties
Crystal system: tetragonal
Raw total energy, eV/atom: -4.36
ΔE_f (raw), eV per atom: 0.702

(2)
Below is a relaxed structure of CeTiHgPb, with properties calculated at the GGA-PBE level.

Cell lengths 5.210, 5.210, 5.210 Å; angles 60.00, 60.00, 60.00 degrees
Site moments in Bohr magnetons follow the coordinates.
Fractional coordinates of all 4 atoms:
Pb1 0.250 0.250 0.250  -0.04
Hg1 0.750 0.750 0.750  0.06
Ce1 0.000 0.000 0.000  0.97
Ti1 0.500 0.500 0.500  1.57

## Properties
Crystal system: cubic
Raw total energy, eV/atom: -4.59
Formation energy, meV/atom: -131

(3)
Below is a relaxed structure of DyY2Tm3Sb6, with properties calculated at the GGA-PBE level.

Cell lengths 4.362, 8.726, 9.755 Å; angles 102.86, 102.92, 90.00 degrees
Fractional coordinates of all 12 atoms:
Dy1 0.500 0.000 0.000
Y1 0.833 0.667 0.667
Y2 0.167 0.333 0.333
Tm1 0.500 0.500 0.000
Tm2 0.833 0.167 0.666
Tm3 0.167 0.833 0.334
Sb1 0.333 0.919 0.665
Sb2 0.666 0.585 0.332
Sb3 0.667 0.081 0.335
Sb4 0.999 0.252 0.998
Sb5 0.001 0.748 0.002
Sb6 0.334 0.415 0.668

## Properties
Crystal system: monoclinic
Raw total energy, eV/atom: -5.75
ΔE_f (raw), eV per atom: -1.111

(4)
Below is a relaxed structure of KTlSb3, with properties calculated at the GGA-PBE level.

Cell lengths 5.933, 5.933, 5.933 Å; angles 90.00, 90.00, 90.00 degrees
Site moments in Bohr magnetons follow the coordinates.
Fractional coordinates of all 5 atoms:
Sb1 0.000 0.500 0.000  0.06
Sb2 0.000 0.000 0.500  0.06
Sb3 0.500 0.000 0.000  0.07
Tl1 0.500 0.500 0.500  0.00
K1 0.000 0.000 0.000  0.04

## Properties
Crystal system: cubic
Raw total energy, eV/atom: -2.19
ΔE_f (raw), eV per atom: 0.976
Polymorph energy (0 for the lowest one), meV/atom: 529